DFT (PBE) results for a relaxed TlCo2Ni crystal.

Results
The density of states at the Fermi level comes out at 5.88 states/eV/cell. For the total energy, the calculation gives -5.201 eV/atom. The symmetry is I-4m2 (119). The density is 11.6 Mg/m³. The value obtained for the formation energy from the elements is 0.389 eV per atom.

Lattice parameters (Å, degrees): 4.5801 4.5801 4.5801 130.30 130.30 72.93
Each line ends with the local moment (μB).
Element x y z (fractional)
1 Tl 0.7500 0.2500 0.5000  -0.04
2 Co 0.0000 0.0000 0.0000  1.35
3 Co 0.2500 0.7500 0.5000  1.59
4 Ni 0.5000 0.5000 0.0000  0.27

DFT (PBE) results for a relaxed Zn2SiAu crystal.

Results
The density of states at the Fermi level comes out at 1.54 states/eV/cell. For the total energy, the calculation gives -2.665 eV/atom. As for the uncorrected formation energy: 147 meV per atom. The symmetry is P4mm (99). The density is 9.1 Mg/m³.

Lattice parameters (Å, degrees): 2.8701 2.8701 7.8578 90.00 90.00 90.03
Element x y z (fractional)
1 Si 0.5000 0.5000 0.7542
2 Zn 0.5000 0.5000 0.2435
3 Zn 0.0000 0.0000 0.0057
4 Au 0.0000 0.0000 0.4966

DFT (PBE) results for a relaxed RbCa2Au9 crystal.

Results
The density of states at the Fermi level comes out at 6.06 states/eV/cell. For the total energy, the calculation gives -3.283 eV/atom. The symmetry is R-3m (166). The density is 12.1 Mg/m³. The value obtained for the formation energy from the elements is -0.410 eV per atom.

Lattice parameters (Å, degrees): 5.7872 5.7872 9.7886 72.81 72.81 60.00
Element x y z (fractional)
1 Au 0.5000 0.5000 0.5000
2 Au 0.5890 0.0801 0.7420
3 Au 0.5890 0.5890 0.7420
4 Au 0.9199 0.4110 0.2580
5 Au 0.3334 0.3334 0.9999
6 Au 0.4110 0.4110 0.2580
7 Au 0.6666 0.6666 0.0001
8 Au 0.0801 0.5890 0.7420
9 Au 0.4110 0.9199 0.2580
10 Rb 0.0000 0.0000 0.0000
11 Ca 0.1421 0.1421 0.5736
12 Ca 0.8579 0.8579 0.4264

DFT (PBE) results for a relaxed YSnHg2 crystal.

Results
The density of states at the Fermi level comes out at 1.55 states/eV/cell. For the total energy, the calculation gives -3.084 eV/atom. The symmetry is R-3m (166). The density is 9.8 Mg/m³. The value obtained for the formation energy from the elements is -0.316 eV per atom.

Lattice parameters (Å, degrees): 4.7844 4.7844 5.9121 66.13 66.13 60.00
Element x y z (fractional)
1 Hg 0.2558 0.2558 0.2325
2 Hg 0.7442 0.7442 0.7675
3 Sn 0.0000 0.0000 0.0000
4 Y 0.5000 0.5000 0.5000